## LiCo3O4 (PBE+U)

Data for LiCo3O4 after structural relaxation.

abc: 5.240 5.240 5.240
angles: 132.88 132.88 68.84
Site moments in Bohr magnetons follow the coordinates.
Fractional positions:
Co1 0.500 0.500 0.000  3.11
Co2 0.750 0.250 0.500  2.76
Co3 0.250 0.750 0.500  2.76
O1 0.500 0.000 0.500  0.25
O2 0.267 0.267 0.000  0.30
O3 0.000 0.500 0.500  0.25
O4 0.733 0.733 0.000  0.30
Li1 0.000 0.000 0.000  0.00

Values from the calculation:
VASP energy (eV per atom): -5.71
Space group: I4/mmm (139)
N(E_F) (states/eV per cell): 0.98